(1)
This record from the Alexandria database describes a PBEsol-optimized structure of Cd2ReBH. The functional is meta-GGA SCAN.

## Properties
Its space-group type is P4/mmm (123). The calculation puts the total energy at -26.9090 eV per atom.

Unit cell a=3.1701 b=5.2654 c=5.2654 alpha=90.00 beta=90.00 gamma=90.00
Sites, in units of the cell vectors:
Re 0.0000 0.0000 0.0000
B 0.5000 0.5000 0.5000
H 0.5000 0.0000 0.0000
Cd 0.0000 0.0000 0.5000
Cd 0.0000 0.5000 0.0000

(2)
This record from the Alexandria database describes a PBEsol-optimized structure of CaBeRe2. The functional is meta-GGA SCAN.

## Properties
Its space-group type is P2/m (10). The calculation puts the formation energy at 0.707 eV per atom.

Unit cell a=2.6849 b=4.8617 c=4.9625 alpha=108.35 beta=90.00 gamma=90.00
Sites, in units of the cell vectors:
Re 0.0000 0.0000 0.0000
Re 0.5000 0.5000 0.0000
Ca 0.0000 0.5000 0.5000
Be 0.5000 0.0000 0.5000

(3)
This record from the Alexandria database describes a PBEsol-optimized structure of BaSr2. The functional is meta-GGA SCAN.

## Properties
Its space-group type is Fd-3m (227). The calculation puts the formation energy at 0.068 eV per atom. For the excess energy over the best structure of this formula in the dataset, the calculation gives 78 meV per atom.

Unit cell a=7.8817 b=7.8817 c=7.8817 alpha=60.00 beta=60.00 gamma=60.00
Sites, in units of the cell vectors:
Sr 0.1250 0.1250 0.1250
Sr 0.1250 0.6250 0.1250
Sr 0.6250 0.1250 0.1250
Sr 0.1250 0.1250 0.6250
Ba 0.5000 0.5000 0.5000
Ba 0.7500 0.7500 0.7500

(4)
This record from the Alexandria database describes a PBEsol-optimized structure of SnBSbP2. The functional is meta-GGA SCAN.

## Properties
Its space-group type is P4/mmm (123). The energy relative to the elements, uncorrected is 46.47 kcal/mol of atoms.

Unit cell a=4.9304 b=4.9304 c=5.6068 alpha=90.00 beta=90.00 gamma=90.00
Sites, in units of the cell vectors:
Sb 0.0000 0.0000 0.5000
B 0.5000 0.5000 0.5000
Sn 0.0000 0.0000 0.0000
P 0.0000 0.5000 0.0000
P 0.5000 0.0000 0.0000